Density functional theory data (PBE) for a relaxed structure of TiCoN2.

The formation energy (no corrections) comes out at -0.522 eV/atom. The calculation puts the total energy at -33.7 eV/f.u. The calculation puts the offset from the most stable computed form at 173 meV per atom. For the volume, the calculation gives 39.4 Å³ per cell. Its magnetic moment is 0.00 μB per formula unit. Its density of states at the Fermi level is 0.389 states/eV/atom.

```
TiCoN2
1.0
2.965 0.000 0.000
1.482 2.568 0.000
1.482 0.856 5.176
Ti N Co
1 2 1
direct
0.665 0.665 0.004 Ti
0.090 0.090 0.729 N
0.270 0.270 0.191 N
0.475 0.475 0.575 Co
```